# 1
Nd2Y6Ho5 | PBE-GGA | optimized geometry

The calculation puts the energy of formation at 0.1017 eV/atom. As for the density of states at the Fermi level: 35.44 states/eV per cell.

The space group is Pbam (No. 55) and the conventional cell measures 11.746, 20.265 and 3.590 Å, with angles of 90.00, 90.00 and 90.00 degrees. The inequivalent atoms are Nd at (0.165, 0.214, 0.000), Y at (0.057, 0.921, 0.000), Y at (0.083, 0.633, 0.000), Y at (0.177, 0.372, 0.500), Ho at (0.000, 0.500, 0.500), Ho at (0.095, 0.776, 0.500) and Ho at (0.200, 0.050, 0.500).



# 2
Nd5Y3Ho4 | PBE-GGA | optimized geometry

The calculation puts the energy of formation at 0.2286 eV/atom. As for the density of states at the Fermi level: 38.79 states/eV per cell.

The space group is C2/m (No. 12) and the conventional cell measures 9.803, 5.836 and 15.018 Å, with angles of 90.00, 108.68 and 90.00 degrees. The inequivalent atoms are Nd at (0.000, 0.000, 0.000), Nd at (0.048, 0.500, 0.247), Nd at (0.167, 0.500, 0.498), Y at (0.000, 0.500, 0.000), Y at (0.208, 0.000, 0.249), Ho at (0.060, 0.000, 0.624) and Ho at (0.175, 0.000, 0.855).



# 3
Nd3Y4Ho4 | PBE-GGA | optimized geometry

The calculation puts the energy of formation at 0.1541 eV/atom. The energy above the most stable polymorph in this dataset comes out at 0.0 meV/atom. As for the density of states at the Fermi level: 35.19 states/eV per cell.

The space group is Amm2 (No. 38) and the conventional cell measures 10.628, 5.722 and 12.084 Å, with angles of 90.00, 90.00 and 90.00 degrees. The inequivalent atoms are Nd at (0.000, 0.000, 0.000), Nd at (0.297, 0.000, 0.148), Y at (0.000, 0.000, 0.300), Y at (0.290, 0.000, 0.844), Y at (0.500, 0.000, 0.363), Ho at (0.000, 0.000, 0.701), Ho at (0.213, 0.000, 0.500) and Ho at (0.500, 0.000, 0.635).



- Number 2 is which compound?
  Nd5Y3Ho4



- Among the records above, which one has the lowest energy of formation?
  Nd2Y6Ho5



- Look up the energy of formation of the third one.
  0.1541 eV/atom



- Which of these has the lowest energy of formation?
  Nd2Y6Ho5